(1)
The following is a DFT calculation (PBE) of a geometry-optimized Nd2Dy2Ho7 structure.

Summary:
Space group: No. 12
Formation enthalpy at 0 K in eV/atom: 0.15

```
Nd2Dy2Ho7
1.0
5.607 -5.760 0.000
5.607 5.760 0.000
-2.446 0.000 5.552
Nd Dy Ho
2 2 7
direct
0.092 0.092 0.307
0.908 0.908 0.693
0.287 0.713 0.000
0.713 0.287 0.000
0.088 0.563 0.322
0.271 0.271 0.921
0.437 0.912 0.678
0.500 0.500 0.500
0.563 0.088 0.322
0.729 0.729 0.079
0.912 0.437 0.678
```

(2)
The following is a DFT calculation (PBE) of a geometry-optimized Nd6Dy2Ho structure.

Summary:
Space group: No. 15
Energy above the lowest structure with this stoichiometry in meV per atom: 0.0
Formation enthalpy at 0 K in eV/atom: 0.11

```
Nd6Dy2Ho
1.0
6.329 -7.452 0.000
6.329 7.452 0.000
-1.751 0.000 6.512
Nd Dy Ho
12 4 2
direct
0.043 0.426 0.700
0.140 0.768 0.981
0.232 0.860 0.519
0.263 0.460 0.182
0.426 0.043 0.200
0.460 0.263 0.682
0.540 0.737 0.318
0.574 0.957 0.800
0.737 0.540 0.818
0.768 0.140 0.481
0.860 0.232 0.019
0.957 0.574 0.300
0.123 0.160 0.361
0.160 0.123 0.861
0.840 0.877 0.139
0.877 0.840 0.639
0.392 0.608 0.750
0.608 0.392 0.250
```

(3)
The following is a DFT calculation (PBE) of a geometry-optimized Nd12Dy5Ho2 structure.

Summary:
Space group: No. 12
Energy above the lowest structure with this stoichiometry in meV per atom: 31.0
Formation enthalpy at 0 K in eV/atom: 0.13

```
Nd12Dy5Ho2
1.0
7.642 -5.312 0.000
7.642 5.312 0.000
-0.509 0.000 8.061
Nd Dy Ho
12 5 2
direct
0.054 0.054 0.212
0.089 0.540 0.708
0.120 0.667 0.114
0.333 0.880 0.886
0.368 0.368 0.394
0.460 0.911 0.292
0.540 0.089 0.708
0.632 0.632 0.606
0.667 0.120 0.114
0.880 0.333 0.886
0.911 0.460 0.292
0.946 0.946 0.788
0.156 0.156 0.594
0.258 0.258 0.014
0.500 0.500 0.000
0.742 0.742 0.986
0.844 0.844 0.406
0.232 0.768 0.500
0.768 0.232 0.500
```

(4)
The following is a DFT calculation (PBE) of a geometry-optimized Nd3Dy6Ho2 structure.

Summary:
Space group: No. 139
Energy above the lowest structure with this stoichiometry in meV per atom: 256.5
Formation enthalpy at 0 K in eV/atom: 0.27

```
Nd3Dy6Ho2
1.0
-2.380 2.380 16.633
2.380 -2.380 16.633
2.380 2.380 -16.633
Nd Dy Ho
3 6 2
direct
0.000 0.000 0.000
0.203 0.203 0.000
0.797 0.797 0.000
0.120 0.620 0.500
0.307 0.307 0.000
0.380 0.880 0.500
0.620 0.120 0.500
0.693 0.693 0.000
0.880 0.380 0.500
0.454 0.454 0.000
0.546 0.546 0.000
```

(5)
The following is a DFT calculation (PBE) of a geometry-optimized Nd4Dy8Ho3 structure.

Summary:
Space group: No. 166
Energy above the lowest structure with this stoichiometry in meV per atom: 0.0
Formation enthalpy at 0 K in eV/atom: 0.12

```
Nd4Dy8Ho3
1.0
3.479 2.009 11.845
-3.479 2.009 11.845
0.000 -4.017 11.845
Nd Dy Ho
4 8 3
direct
0.000 0.000 0.000
0.164 0.164 0.164
0.500 0.500 0.500
0.836 0.836 0.836
0.250 0.250 0.747
0.250 0.747 0.250
0.253 0.750 0.750
0.255 0.255 0.255
0.745 0.745 0.745
0.747 0.250 0.250
0.750 0.253 0.750
0.750 0.750 0.253
0.000 0.500 0.500
0.500 0.000 0.500
0.500 0.500 0.000
```

(6)
The following is a DFT calculation (PBE) of a geometry-optimized NdDyHo6 structure.

Summary:
Space group: No. 148
Energy above the lowest structure with this stoichiometry in meV per atom: 0.0
Formation enthalpy at 0 K in eV/atom: 0.15

```
NdDyHo6
1.0
4.800 2.771 3.261
-4.800 2.771 3.261
0.000 -5.542 3.261
Nd Dy Ho
1 1 6
direct
0.000 0.000 0.000
0.500 0.500 0.500
0.046 0.454 0.748
0.252 0.954 0.546
0.454 0.748 0.046
0.546 0.252 0.954
0.748 0.046 0.454
0.954 0.546 0.252
```

(7)
The following is a DFT calculation (PBE) of a geometry-optimized NdDy5Ho7 structure.

Summary:
Space group: No. 44
Formation enthalpy at 0 K in eV/atom: 0.25

```
NdDy5Ho7
1.0
-3.330 5.536 5.768
3.330 -5.536 5.768
3.330 5.536 -5.768
Nd Dy Ho
1 5 7
direct
0.000 0.000 0.000
0.029 0.033 0.463
0.029 0.566 0.996
0.302 0.802 0.500
0.570 0.033 0.004
0.570 0.566 0.537
0.220 0.550 0.669
0.303 0.303 0.000
0.381 0.051 0.331
0.608 0.608 0.000
0.720 0.051 0.669
0.798 0.298 0.500
0.881 0.550 0.331
```

(8)
The following is a DFT calculation (PBE) of a geometry-optimized NdDyHo4 structure.

Summary:
Space group: No. 2
Energy above the lowest structure with this stoichiometry in meV per atom: 0.0
Formation enthalpy at 0 K in eV/atom: 0.02

```
NdDyHo4
1.0
5.011 0.000 0.000
-2.498 5.627 0.000
0.000 -2.249 6.742
Nd Dy Ho
1 1 4
direct
0.000 0.000 0.000
0.000 0.000 0.500
0.332 0.664 0.665
0.334 0.667 0.168
0.666 0.333 0.832
0.668 0.336 0.335
```

(9)
The following is a DFT calculation (PBE) of a geometry-optimized Nd5Dy4Ho structure.

Summary:
Space group: No. 12
Energy above the lowest structure with this stoichiometry in meV per atom: 126.6
Formation enthalpy at 0 K in eV/atom: 0.14

```
Nd5Dy4Ho
1.0
9.132 -1.800 0.000
9.132 1.800 0.000
-1.124 0.000 10.448
Nd Dy Ho
5 4 1
direct
0.000 0.000 0.000
0.311 0.311 0.902
0.358 0.358 0.271
0.642 0.642 0.729
0.689 0.689 0.098
0.182 0.182 0.414
0.455 0.455 0.737
0.545 0.545 0.263
0.818 0.818 0.586
0.000 0.000 0.500
```

(10)
The following is a DFT calculation (PBE) of a geometry-optimized Nd2Dy7Ho3 structure.

Summary:
Space group: No. 10
Energy above the lowest structure with this stoichiometry in meV per atom: 0.0
Formation enthalpy at 0 K in eV/atom: 0.08

```
Nd2Dy7Ho3
1.0
6.333 0.000 0.000
0.000 3.516 0.000
-1.865 0.000 17.341
Nd Dy Ho
2 7 3
direct
0.060 0.000 0.173
0.940 0.000 0.827
0.000 0.500 0.500
0.228 0.000 0.667
0.256 0.000 0.999
0.275 0.500 0.337
0.725 0.500 0.663
0.744 0.000 0.001
0.772 0.000 0.333
0.452 0.500 0.842
0.500 0.000 0.500
0.548 0.500 0.158
```

(11)
The following is a DFT calculation (PBE) of a geometry-optimized NdDy14Ho structure.

Summary:
Space group: No. 38
Formation enthalpy at 0 K in eV/atom: 0.00

```
NdDy14Ho
1.0
11.469 0.000 0.000
0.000 3.564 6.171
0.000 -3.564 6.171
Nd Dy Ho
1 14 1
direct
0.000 0.000 0.000
0.000 0.000 0.500
0.000 0.500 0.000
0.250 0.667 0.667
0.251 0.167 0.666
0.251 0.666 0.167
0.252 0.167 0.167
0.500 0.334 0.334
0.500 0.334 0.834
0.500 0.834 0.334
0.500 0.834 0.834
0.748 0.167 0.167
0.749 0.167 0.666
0.749 0.666 0.167
0.750 0.667 0.667
0.000 0.500 0.500
```

(12)
The following is a DFT calculation (PBE) of a geometry-optimized Nd6DyHo12 structure.

Summary:
Space group: No. 166
Energy above the lowest structure with this stoichiometry in meV per atom: 0.0
Formation enthalpy at 0 K in eV/atom: 0.12

```
Nd6DyHo12
1.0
5.550 3.204 5.838
-5.550 3.204 5.838
0.000 -6.409 5.838
Nd Dy Ho
6 1 12
direct
0.268 0.268 0.664
0.268 0.664 0.268
0.336 0.732 0.732
0.664 0.268 0.268
0.732 0.336 0.732
0.732 0.732 0.336
0.500 0.500 0.500
0.014 0.014 0.696
0.014 0.696 0.014
0.015 0.363 0.363
0.304 0.986 0.986
0.363 0.015 0.363
0.363 0.363 0.015
0.637 0.637 0.985
0.637 0.985 0.637
0.696 0.014 0.014
0.985 0.637 0.637
0.986 0.304 0.986
0.986 0.986 0.304
```

(13)
The following is a DFT calculation (PBE) of a geometry-optimized NdDy5Ho3 structure.

Summary:
Space group: No. 12
Energy above the lowest structure with this stoichiometry in meV per atom: 238.1
Formation enthalpy at 0 K in eV/atom: 0.42

```
NdDy5Ho3
1.0
8.407 -3.986 0.000
8.407 3.986 0.000
-7.953 0.000 9.260
Nd Dy Ho
2 10 6
direct
0.236 0.236 0.131
0.764 0.764 0.869
0.124 0.124 0.567
0.142 0.730 0.220
0.270 0.858 0.780
0.299 0.299 0.929
0.320 0.680 0.000
0.680 0.320 0.000
0.701 0.701 0.071
0.730 0.142 0.220
0.858 0.270 0.780
0.876 0.876 0.433
0.000 0.000 0.000
0.172 0.172 0.340
0.380 0.380 0.684
0.500 0.500 0.500
0.620 0.620 0.316
0.828 0.828 0.660
```

(14)
The following is a DFT calculation (PBE) of a geometry-optimized Nd2Dy3Ho7 structure.

Summary:
Space group: No. 10
Energy above the lowest structure with this stoichiometry in meV per atom: 0.0
Formation enthalpy at 0 K in eV/atom: 0.08

```
Nd2Dy3Ho7
1.0
6.323 0.000 0.000
0.000 3.511 0.000
-1.864 0.000 17.322
Nd Dy Ho
2 3 7
direct
0.059 0.000 0.174
0.941 0.000 0.826
0.452 0.500 0.842
0.500 0.000 0.500
0.548 0.500 0.158
0.000 0.500 0.500
0.228 0.000 0.666
0.256 0.000 0.999
0.275 0.500 0.337
0.725 0.500 0.663
0.744 0.000 0.001
0.772 0.000 0.334
```

(15)
The following is a DFT calculation (PBE) of a geometry-optimized Nd7Dy2Ho3 structure.

Summary:
Space group: No. 65
Energy above the lowest structure with this stoichiometry in meV per atom: 188.3
Formation enthalpy at 0 K in eV/atom: 0.26

```
Nd7Dy2Ho3
1.0
2.766 -16.222 0.000
2.766 16.222 0.000
0.000 0.000 4.683
Nd Dy Ho
7 2 3
direct
0.000 0.000 0.000
0.079 0.921 0.500
0.264 0.736 0.000
0.417 0.583 0.000
0.583 0.417 0.000
0.736 0.264 0.000
0.921 0.079 0.500
0.160 0.840 0.000
0.840 0.160 0.000
0.342 0.658 0.500
0.500 0.500 0.500
0.658 0.342 0.500
```

(16)
The following is a DFT calculation (PBE) of a geometry-optimized Nd12Dy2Ho structure.

Summary:
Space group: No. 125
Formation enthalpy at 0 K in eV/atom: 0.35

```
Nd12Dy2Ho
1.0
6.634 0.000 0.000
0.000 6.634 0.000
0.000 0.000 24.789
Nd Dy Ho
24 4 2
direct
0.001 0.501 0.108
0.001 0.999 0.892
0.083 0.583 0.563
0.083 0.917 0.437
0.250 0.250 0.209
0.250 0.250 0.332
0.250 0.250 0.668
0.250 0.250 0.791
0.417 0.583 0.437
0.417 0.917 0.563
0.499 0.501 0.892
0.499 0.999 0.108
0.501 0.001 0.892
0.501 0.499 0.108
0.583 0.083 0.437
0.583 0.417 0.563
0.750 0.750 0.209
0.750 0.750 0.332
0.750 0.750 0.668
0.750 0.750 0.791
0.917 0.083 0.563
0.917 0.417 0.437
0.999 0.001 0.108
0.999 0.499 0.892
0.250 0.750 0.250
0.250 0.750 0.750
0.750 0.250 0.250
0.750 0.250 0.750
0.250 0.750 0.000
0.750 0.250 0.000
```

(17)
The following is a DFT calculation (PBE) of a geometry-optimized Nd5Dy4Ho2 structure.

Summary:
Space group: No. 71
Energy above the lowest structure with this stoichiometry in meV per atom: 129.7
Formation enthalpy at 0 K in eV/atom: 0.20

```
Nd5Dy4Ho2
1.0
-1.764 4.584 11.783
1.764 -4.584 11.783
1.764 4.584 -11.783
Nd Dy Ho
5 4 2
direct
0.000 0.000 0.000
0.054 0.353 0.701
0.349 0.647 0.701
0.651 0.353 0.299
0.946 0.647 0.299
0.312 0.500 0.812
0.403 0.903 0.500
0.597 0.097 0.500
0.688 0.500 0.188
0.270 0.770 0.500
0.730 0.230 0.500
```

(18)
The following is a DFT calculation (PBE) of a geometry-optimized Nd4Dy4Ho structure.

Summary:
Space group: No. 2
Energy above the lowest structure with this stoichiometry in meV per atom: 88.5
Formation enthalpy at 0 K in eV/atom: 0.11

```
Nd4Dy4Ho
1.0
5.628 0.000 0.000
-0.002 6.853 0.000
-2.807 -3.335 7.784
Nd Dy Ho
4 4 1
direct
0.133 0.458 0.266
0.281 0.214 0.562
0.719 0.786 0.438
0.867 0.542 0.734
0.073 0.875 0.145
0.376 0.825 0.752
0.624 0.175 0.248
0.927 0.125 0.855
0.500 0.500 0.000
```

(19)
The following is a DFT calculation (PBE) of a geometry-optimized Nd3Dy4Ho3 structure.

Summary:
Space group: No. 38
Formation enthalpy at 0 K in eV/atom: 0.10

```
Nd3Dy4Ho3
1.0
3.697 0.000 0.000
0.000 6.656 6.695
0.000 -6.656 6.695
Nd Dy Ho
3 4 3
direct
0.000 0.000 0.000
0.000 0.498 0.846
0.000 0.846 0.498
0.500 0.050 0.300
0.500 0.300 0.050
0.500 0.545 0.545
0.500 0.799 0.799
0.000 0.346 0.346
0.500 0.175 0.667
0.500 0.667 0.175
```